No. 1
VASP calculation (PBE) on an optimized crystal structure of NaFeW2.

Computed properties:
Its space group is Fm-3m (225). The formation energy comes out at 1.21 eV per atom. The offset from the most stable computed form comes out at 0.00 eV/f.u.

Geometry as POSCAR:
```
NaFeW2
1.0
0.0000 3.0800 3.0800
3.0800 0.0000 3.0800
3.0800 3.0800 0.0000
Na W Fe
1 2 1
Direct
0.0000 0.0000 0.0000
0.7500 0.7500 0.7500
0.2500 0.2500 0.2500
0.5000 0.5000 0.5000
```

No. 2
VASP calculation (PBE) on an optimized crystal structure of ReTcP.

Computed properties:
Its space group is P-6m2 (187). The formation energy comes out at -0.13 eV per atom. The offset from the most stable computed form comes out at 0.33 eV/f.u.

Geometry as POSCAR:
```
ReTcP
1.0
0.6061 2.1253 3.4945
-3.3241 0.7672 -2.3361
-1.4581 -1.9452 1.4359
Re Tc P
1 1 1
Direct
0.3333 0.6667 0.0000
0.6667 0.3333 0.5000
0.0000 0.0000 0.0000
```

No. 3
VASP calculation (PBE) on an optimized crystal structure of BaSF6.

Computed properties:
Its space group is R-3m (166). The calculation puts the energy relative to the elements, uncorrected at -2.302 eV/atom. The offset from the most stable computed form comes out at 0.78 eV/f.u.

Geometry as POSCAR:
```
BaSF6
1.0
-2.6332 0.2334 -4.6316
-4.5339 -2.7361 -0.6304
-4.9761 3.0685 -0.0865
F S Ba
6 1 1
Direct
0.3990 0.9119 0.7772
0.6010 0.0881 0.2228
0.0881 0.6010 0.2228
0.0881 0.0881 0.2228
0.9119 0.3990 0.7772
0.9119 0.9119 0.7772
0.0000 0.0000 0.0000
0.5000 0.5000 0.5000
```

Question: What is the offset from the most stable computed form in the third record?
Answer: 0.78 eV/f.u.

Question: The highest offset from the most stable computed form belongs to which entry?
Answer: BaSF6

Question: What is the offset from the most stable computed form in the first record?
Answer: 0.00 eV/f.u.

Question: Which of these has the highest offset from the most stable computed form?
Answer: BaSF6